(1)
The following is a PBE calculation of a relaxed MnB2OsS crystal, from the Alexandria database.

Unit cell a=4.010 b=4.010 c=4.777 alpha=90.00 beta=90.00 gamma=90.00
Space group P4/mmm (No. 123)
Asymmetric unit:
1 Mn 0.000 0.000 0.000 x1
2 B 0.000 0.500 0.500 x2
3 Os 0.000 0.000 0.500 x1
4 S 0.500 0.500 0.000 x1

Electronic total energy = -6.269 eV/atom

---

(2)
The following is a PBE calculation of a relaxed Zn2Ag crystal, from the Alexandria database.

Unit cell a=6.130 b=6.130 c=6.130 alpha=90.00 beta=90.00 gamma=90.00
Space group Fm-3m (No. 225)
Asymmetric unit:
1 Zn 0.250 0.250 0.250 x8
2 Ag 0.000 0.000 0.000 x4

Formation energy from the elements = 0.136 eV/atom

---

(3)
The following is a PBE calculation of a relaxed Ni2GeCl crystal, from the Alexandria database.

Unit cell a=6.071 b=6.071 c=6.071 alpha=90.00 beta=90.00 gamma=90.00
Space group Fm-3m (No. 225)
Asymmetric unit:
1 Ni 0.250 0.250 0.250 x8
2 Ge 0.000 0.000 0.000 x4
3 Cl 0.000 0.000 0.500 x4

ΔE to the lowest computed polymorph = 65 kJ/mol of formula units

---

(4)
The following is a PBE calculation of a relaxed TlCr2ReP crystal, from the Alexandria database.

Unit cell a=4.951 b=4.951 c=4.535 alpha=90.00 beta=90.00 gamma=90.00
Space group P4/mmm (No. 123)
Asymmetric unit:
1 Tl 0.000 0.000 0.000 x1
2 Cr 0.000 0.500 0.500 x2
3 Re 0.500 0.500 0.500 x1
4 P 0.500 0.500 0.000 x1

Formation energy from the elements = 0.809 eV/atom

---

(5)
The following is a PBE calculation of a relaxed NdCd5Hg6 crystal, from the Alexandria database.

Unit cell a=9.033 b=15.902 c=4.823 alpha=90.00 beta=121.86 gamma=90.00
Space group C2/m (No. 12)
Asymmetric unit:
1 Nd 0.000 0.000 0.000 x2
2 Cd 0.000 0.163 0.500 x4
3 Cd 0.000 0.314 0.000 x4
4 Cd 0.000 0.500 0.500 x2
5 Hg 0.226 0.500 0.226 x4
6 Hg 0.238 0.337 0.739 x8

Formation energy from the elements = -0.117 eV/atom

---

(6)
The following is a PBE calculation of a relaxed RbScTi2Zn crystal, from the Alexandria database.

Unit cell a=5.084 b=5.084 c=5.322 alpha=90.00 beta=90.00 gamma=90.00
Space group P4/mmm (No. 123)
Asymmetric unit:
1 Rb 0.000 0.000 0.000 x1
2 Sc 0.500 0.500 0.000 x1
3 Ti 0.000 0.500 0.500 x2
4 Zn 0.500 0.500 0.500 x1

Formation energy from the elements = 0.923 eV/atom

---

(7)
The following is a PBE calculation of a relaxed Be2AuSe crystal, from the Alexandria database.

Unit cell a=3.334 b=6.498 c=7.059 alpha=90.00 beta=90.00 gamma=90.00
Space group Immm (No. 71)
Asymmetric unit:
1 Be 0.000 0.241 0.000 x4
2 Au 0.000 0.000 0.500 x2
3 Se 0.000 0.500 0.500 x2

Electronic total energy = -3.312 eV/atom

---

(8)
The following is a PBE calculation of a relaxed MnV2SiIr crystal, from the Alexandria database.

Unit cell a=4.790 b=4.790 c=4.465 alpha=90.00 beta=90.00 gamma=90.00
Space group P4/mmm (No. 123)
Asymmetric unit:
1 Mn 0.000 0.000 0.000 x1
2 V 0.000 0.500 0.500 x2
3 Si 0.500 0.500 0.000 x1
4 Ir 0.500 0.500 0.500 x1

Electronic total energy = -7.512 eV/atom